LiNi2 SCAN single point on PBEsol structure; formation energy = 0.034 eV/atom; space-group type = P6_3/mmc; VASP energy = -11.544 eV per atom
1.0
4.637 0.000 0.000
-2.319 4.016 0.000
0.000 0.000 15.140
Li Ni
8 16
direct
0.000 0.000 0.092
0.000 0.000 0.408
0.000 0.000 0.592
0.000 0.000 0.908
0.333 0.667 0.156
0.333 0.667 0.344
0.667 0.333 0.656
0.667 0.333 0.844
0.000 0.500 0.000
0.000 0.500 0.500
0.164 0.328 0.750
0.164 0.836 0.750
0.328 0.164 0.250
0.333 0.667 0.625
0.333 0.667 0.875
0.500 0.000 0.000
0.500 0.000 0.500
0.500 0.500 0.000
0.500 0.500 0.500
0.667 0.333 0.125
0.667 0.333 0.375
0.672 0.836 0.750
0.836 0.164 0.250
0.836 0.672 0.250



LiNi2 SCAN single point on PBEsol structure; formation energy = 0.008 eV/atom; space-group type = Cm; VASP energy = -11.571 eV per atom
1.0
9.103 0.000 0.000
0.000 2.422 0.000
-1.707 0.000 5.743
Li Ni
4 8
direct
0.000 0.000 0.000
0.161 0.500 0.351
0.500 0.500 0.000
0.661 0.000 0.351
0.109 0.500 0.721
0.279 0.000 0.056
0.332 0.000 0.680
0.427 0.500 0.397
0.609 0.000 0.721
0.779 0.500 0.056
0.832 0.500 0.680
0.927 0.000 0.397



LiNi SCAN single point on PBEsol structure; formation energy = 0.113 eV/atom; space-group type = Imma; VASP energy = -9.169 eV per atom
1.0
2.527 0.000 0.000
0.000 4.178 0.000
0.000 0.000 8.434
Li Ni
4 4
direct
0.000 0.250 0.119
0.000 0.750 0.881
0.500 0.250 0.381
0.500 0.750 0.619
0.000 0.250 0.634
0.000 0.750 0.366
0.500 0.250 0.866
0.500 0.750 0.134



LiNi4 SCAN single point on PBEsol structure; formation energy = 0.042 eV/atom; space-group type = I4/m; VASP energy = -13.375 eV per atom
1.0
5.434 0.000 0.000
0.000 5.434 0.000
0.000 0.000 3.494
Li Ni
2 8
direct
0.000 0.000 0.000
0.500 0.500 0.500
0.100 0.303 0.500
0.197 0.600 0.000
0.303 0.900 0.500
0.400 0.197 0.000
0.600 0.803 0.000
0.697 0.100 0.500
0.803 0.400 0.000
0.900 0.697 0.500



LiNi SCAN single point on PBEsol structure; formation energy = 0.066 eV/atom; space-group type = Cmcm; VASP energy = -9.216 eV per atom
1.0
2.374 0.000 0.000
0.000 9.719 0.000
0.000 0.000 3.870
Li Ni
4 4
direct
0.000 0.063 0.250
0.000 0.937 0.750
0.500 0.437 0.750
0.500 0.563 0.250
0.000 0.300 0.250
0.000 0.700 0.750
0.500 0.200 0.750
0.500 0.800 0.250



LiNi3 SCAN single point on PBEsol structure; formation energy = 0.067 eV/atom; space-group type = P2/m; VASP energy = -12.660 eV per atom
1.0
2.376 0.000 0.000
0.000 4.009 0.000
-0.448 0.000 4.371
Li Ni
1 3
direct
0.000 0.000 0.000
0.230 0.500 0.748
0.500 0.000 0.500
0.770 0.500 0.252



LiNi3 SCAN single point on PBEsol structure; formation energy = 0.018 eV/atom; space-group type = P-6m2; VASP energy = -12.709 eV per atom
1.0
2.446 0.000 0.000
-1.223 2.118 0.000
0.000 0.000 8.194
Li Ni
1 3
direct
0.000 0.000 0.000
0.000 0.000 0.500
0.333 0.667 0.256
0.333 0.667 0.744



LiNi2 SCAN single point on PBEsol structure; formation energy = 0.020 eV/atom; space-group type = Fddd; VASP energy = -11.559 eV per atom
1.0
0.000 3.483 7.398
2.451 0.000 7.398
2.451 3.483 0.000
Li Ni
4 8
direct
0.041 0.041 0.209
0.209 0.209 0.041
0.791 0.791 0.959
0.959 0.959 0.791
0.132 0.132 0.618
0.296 0.296 0.454
0.382 0.382 0.868
0.454 0.454 0.296
0.546 0.546 0.704
0.618 0.618 0.132
0.704 0.704 0.546
0.868 0.868 0.382



Q: What is the formula in the first record?
A: LiNi2



Q: formation energy of number 7 (LiNi3)?
A: 0.018 eV/atom



Q: Which of these has the highest formation energy?
A: number 3



Q: Which value of VASP energy does entry 6 give?
A: -12.660 eV per atom